[1]
MgCo2Si2 | GGA-PBE | optimized geometry

The space group is P4/mbm (No. 127) and the conventional cell measures 6.840, 6.840 and 2.624 Å, with angles of 90.00, 90.00 and 90.00 degrees. The asymmetric unit holds Mg at (0.000, 0.000, 0.000), Co at (0.158, 0.342, 0.500) and Si at (0.135, 0.635, 0.000).

***

[2]
Mg2CoSi | GGA-PBE | optimized geometry

The space group is I4_1/amd (No. 141, origin choice 2) and the conventional cell measures 9.595, 9.595 and 4.268 Å, with angles of 90.00, 90.00 and 90.00 degrees. The asymmetric unit holds Mg at (0.000, 0.000, 0.000), Co at (0.000, 0.250, 0.875) and Si at (0.000, 0.250, 0.375).

***

[3]
Mg14CoSi | GGA-PBE | optimized geometry

As for the polymorph energy (0 for the lowest one): 0.07 eV per formula unit.

The space group is P-6m2 (No. 187) and the conventional cell measures 6.2365, 6.2365 and 9.8055 Å, with angles of 90.00, 90.00 and 120.00 degrees. The asymmetric unit holds Mg at (0.0000, 0.0000, 0.2481), Mg at (0.0151, 0.5075, 0.2563), Mg at (0.3314, 0.1657, 0.5000), Mg at (0.3337, 0.1668, 0.0000), Co at (0.3333, 0.6667, 0.5000) and Si at (0.3333, 0.6667, 0.0000).

***

[4]
Mg2CoSi | GGA-PBE | optimized geometry

The space group is I4/mmm (No. 139) and the conventional cell measures 3.807, 3.807 and 8.209 Å, with angles of 90.00, 90.00 and 90.00 degrees. The asymmetric unit holds Mg at (0.000, 0.500, 0.250), Co at (0.000, 0.000, 0.000) and Si at (0.000, 0.000, 0.500).

***

Results for DOS at the Fermi energy: 1.674; 1.562; 8.146; 2.818 (in states/eV/f.u., following the order of the records).
Results for E: -5.7104; -3.8271; -2.1080; -3.8593 (in eV per atom, following the order of the records).
Results for E_form (uncorrected): -380.0; 102.4; 70.4; 70.2 (in meV/atom, following the order of the records).